No. 1
VASP calculation (PBE-GGA) on a geometry-optimized CsNpSc structure.

Calculated values
The crystal system is cubic. As for the raw total energy: -4.95 eV per atom.

Cell lengths 8.1330, 8.1330, 8.1330 Å; angles 90.00, 90.00, 90.00 degrees
Space group F-43m (No. 216)
Inequivalent atoms, fractional coordinates:
1 Cs 0.0000 0.0000 0.0000
2 Np 0.0000 0.0000 0.5000
3 Sc 0.2500 0.2500 0.2500

---

No. 2
VASP calculation (PBE-GGA) on a geometry-optimized BiPt17 structure.

Calculated values
The crystal system is trigonal. As for the raw total energy: -5.89 eV per atom.

Cell lengths 5.5492, 5.5492, 34.1304 Å; angles 90.00, 90.00, 120.00 degrees
Space group P-3m1 (No. 164)
Inequivalent atoms, fractional coordinates:
1 Bi 0.3333 0.6667 0.1992
2 Pt 0.0000 0.0000 0.2958
3 Pt 0.0000 0.0000 0.5000
4 Pt 0.0000 0.5000 0.5000
5 Pt 0.0031 0.5015 0.2951
6 Pt 0.1656 0.3312 0.7722
7 Pt 0.1666 0.3332 0.5682
8 Pt 0.1670 0.3341 0.3635
9 Pt 0.3333 0.6667 0.4318
10 Pt 0.3333 0.6667 0.6360

---

No. 3
VASP calculation (PBE-GGA) on a geometry-optimized BiOs2Au structure.

Calculated values
The crystal system is cubic. As for the raw total energy: -6.38 eV per atom.

Cell lengths 6.6249, 6.6249, 6.6249 Å; angles 90.00, 90.00, 90.00 degrees
Space group F-43m (No. 216)
Inequivalent atoms, fractional coordinates:
1 Bi 0.0000 0.0000 0.0000
2 Os 0.0000 0.0000 0.5000
3 Os 0.2500 0.2500 0.7500
4 Au 0.2500 0.2500 0.2500